(1)
TbSm5Y6: optimized geometry, PBE.

theoretical density = 6.1 g/cm³
magnetic moment = 0.00 μB/f.u.
VASP energy = -66.843 eV for the cell shown
volume = 392.76 Å³ per cell
DOS at the Fermi energy = 15.7 states/eV per cell
formation enthalpy at 0 K = 0.0140 eV per atom
space group = C2/m, No. 12

a = 11.8590 Å, b = 6.2345 Å, c = 6.2308 Å
α = 59.98°, β = 84.99°, γ = 79.95°
Positions (direct):
Sm1 0.5000 0.1666 0.6667
Y1 0.2495 0.9175 0.6669
Y2 0.7505 0.4156 0.6669
Sm2 0.5000 0.8334 0.3333
Tb1 0.0000 0.0000 0.0000
Y3 0.7505 0.0825 0.3331
Y4 0.2495 0.5844 0.3331
Y5 0.2496 0.2505 0.0000
Y6 0.7504 0.7495 0.0000
Sm3 0.5000 0.5000 0.0000
Sm4 0.0000 0.3334 0.3332
Sm5 0.0000 0.6666 0.6668

=====

(2)
Dy3Tm4In4: optimized geometry, PBE.

theoretical density = 8.3 g/cm³
magnetic moment = 0.00 μB/f.u.
VASP energy = -44.813 eV for the cell shown
volume = 325.79 Å³ per cell
DOS at the Fermi energy = 11.0 states/eV per cell
formation enthalpy at 0 K = -0.1970 eV per atom
space group = Immm, No. 71

a = 4.6568 Å, b = 8.5219 Å, c = 9.5379 Å
α = 116.53°, β = 104.13°, γ = 90.00°
Positions (direct):
In1 0.5000 0.8220 0.0000
Dy1 0.0000 0.5000 0.0000
In2 0.5000 0.1780 0.0000
In3 0.7751 0.2751 0.5502
Tm1 0.3299 0.1304 0.6599
Tm2 0.3299 0.5294 0.6599
Tm3 0.6701 0.8696 0.3401
In4 0.2249 0.7249 0.4498
Dy2 0.1183 0.1183 0.2366
Tm4 0.6701 0.4706 0.3401
Dy3 0.8817 0.8817 0.7634

=====

(3)
Tl2MoPb: optimized geometry, PBE.

theoretical density = 11.9 g/cm³
magnetic moment = 2.14 μB/f.u.
offset from the most stable computed form = 0.270 eV/atom
VASP energy = -16.237 eV for the cell shown
volume = 99.38 Å³ per cell
DOS at the Fermi energy = 2.7 states/eV per cell
formation enthalpy at 0 K = 0.7588 eV per atom
space group = Pmmm, No. 47

a = 3.4117 Å, b = 5.3934 Å, c = 5.4009 Å
α = 90.00°, β = 90.00°, γ = 90.00°
Each line ends with the local moment (μB).
Positions (direct):
Pb1 0.0000 0.5000 0.5000  -0.03
Tl1 0.5000 0.5000 0.0000  0.00
Mo1 0.5000 0.0000 0.5000  1.98
Tl2 0.0000 0.0000 0.0000  -0.04

=====

(4)
FeRu2Cl: optimized geometry, PBE.

theoretical density = 8.5 g/cm³
magnetic moment = 2.79 μB/f.u.
offset from the most stable computed form = 0.180 eV/atom
VASP energy = -26.925 eV for the cell shown
energy relative to the elements, uncorrected = 0.48 eV per atom
volume = 57.48 Å³ per cell
DOS at the Fermi energy = 4.8 states/eV per cell
space group = P4/mmm, No. 123

a = 2.9379 Å, b = 2.9379 Å, c = 6.6592 Å
α = 90.00°, β = 90.00°, γ = 90.00°
Each line ends with the local moment (μB).
Positions (direct):
Ru1 0.0000 0.0000 0.9638  0.23
Cl1 0.5000 0.5000 0.2500  -0.03
Fe1 0.5000 0.5000 0.7500  2.30
Ru2 0.0000 0.0000 0.5362  0.23

=====

(5)
Nd8Bi2Te3: optimized geometry, PBE.

theoretical density = 6.8 g/cm³
magnetic moment = 0.50 μB/f.u.
VASP energy = -64.645 eV for the cell shown
energy relative to the elements, uncorrected = -0.72 eV per atom
volume = 477.57 Å³ per cell
DOS at the Fermi energy = 13.5 states/eV per cell
space group = C2/m, No. 12

a = 7.3636 Å, b = 8.6772 Å, c = 8.7795 Å
α = 119.62°, β = 100.14°, γ = 90.00°
Positions (direct):
Nd1 0.6107 0.1651 0.7726
Nd2 0.3893 0.8349 0.2274
Nd3 0.8774 0.5955 0.1911
Te1 0.5000 0.0000 0.0000
Nd4 0.1177 0.8571 0.7141
Nd5 0.1226 0.4045 0.8089
Nd6 0.8823 0.1429 0.2859
Nd7 0.3893 0.3925 0.2274
Te2 0.0000 0.2155 0.0000
Bi1 0.6626 0.7549 0.5099
Te3 0.0000 0.7845 0.0000
Nd8 0.6107 0.6075 0.7726
Bi2 0.3374 0.2451 0.4901

=====

(6)
La2ZnReI: optimized geometry, PBE.

theoretical density = 6.6 g/cm³
magnetic moment = 0.00 μB/f.u.
VASP energy = -18.994 eV for the cell shown
energy relative to the elements, uncorrected = 1.23 eV per atom
volume = 164.61 Å³ per cell
DOS at the Fermi energy = 5.2 states/eV per cell
space group = P4/mmm, No. 123

a = 5.8325 Å, b = 4.8389 Å, c = 5.8325 Å
α = 90.00°, β = 90.00°, γ = 90.00°
Positions (direct):
Zn1 0.0000 0.5000 0.0000
Re1 0.5000 0.5000 0.5000
La1 0.5000 0.0000 0.0000
La2 0.0000 0.0000 0.5000
I1 0.0000 0.0000 0.0000

=====

(7)
Ba3LiAg2O6: optimized geometry, PBE.

theoretical density = 5.5 g/cm³
magnetic moment = 2.93 μB/f.u.
VASP energy = -58.387 eV for the cell shown
energy relative to the elements, uncorrected = -1.27 eV per atom
volume = 218.99 Å³ per cell
DOS at the Fermi energy = 5.8 states/eV per cell
space group = P-3m1, No. 164

a = 6.0625 Å, b = 6.0625 Å, c = 6.8800 Å
α = 90.00°, β = 90.00°, γ = 120.00°
Each line ends with the local moment (μB).
Positions (direct):
Ba1 0.3333 0.6667 0.6217  -0.02
Li1 0.0000 0.0000 0.5000  0.01
Ag1 0.3333 0.6667 0.1452  0.26
O1 0.6749 0.8374 0.3045  0.35
O2 0.8374 0.1626 0.6955  0.35
O3 0.8374 0.6749 0.6955  0.35
Ag2 0.6667 0.3333 0.8548  0.26
Ba2 0.6667 0.3333 0.3783  -0.02
O4 0.1626 0.8374 0.3045  0.35
Ba3 0.0000 0.0000 0.0000  -0.02
O5 0.3251 0.1626 0.6955  0.35
O6 0.1626 0.3251 0.3045  0.35

=====

(8)
Mg7Tl2In3: optimized geometry, PBE.

theoretical density = 4.9 g/cm³
magnetic moment = 0.00 μB/f.u.
offset from the most stable computed form = 0.007 eV/atom
VASP energy = -23.816 eV for the cell shown
volume = 310.86 Å³ per cell
DOS at the Fermi energy = 3.8 states/eV per cell
formation enthalpy at 0 K = 0.0245 eV per atom
space group = Cmmm, No. 65

a = 5.1473 Å, b = 5.2859 Å, c = 11.7269 Å
α = 103.02°, β = 90.00°, γ = 90.00°
Positions (direct):
Mg1 0.0000 0.2827 0.5655
Mg2 0.5000 0.0740 0.1481
Mg3 0.5000 0.9260 0.8519
Mg4 0.0000 0.5753 0.1507
In1 0.5000 0.3483 0.6966
Tl1 0.0000 0.8494 0.6988
Mg5 0.0000 0.4247 0.8493
Mg6 0.0000 0.7173 0.4345
Mg7 0.0000 0.0000 0.0000
Tl2 0.0000 0.1506 0.3012
In2 0.5000 0.5000 0.0000
In3 0.5000 0.6517 0.3034

=====

(9)
Rb2CdBr: optimized geometry, PBE.

theoretical density = 2.8 g/cm³
magnetic moment = 0.00 μB/f.u.
offset from the most stable computed form = 0.109 eV/atom
VASP energy = -14.506 eV for the cell shown
energy relative to the elements, uncorrected = -0.68 eV per atom
volume = 435.00 Å³ per cell
DOS at the Fermi energy = 6.9 states/eV per cell
space group = I-42d, No. 122

a = 9.6153 Å, b = 9.6153 Å, c = 8.2683 Å
α = 54.45°, β = 54.45°, γ = 90.00°
Positions (direct):
Rb1 0.8750 0.8311 0.7500
Rb2 0.1689 0.6250 0.2500
Cd1 0.0000 0.0000 0.0000
Br1 0.2500 0.7500 0.5000
Rb3 0.5811 0.1250 0.2500
Rb4 0.3750 0.4189 0.7500
Br2 0.5000 0.5000 0.0000
Cd2 0.7500 0.2500 0.5000

=====

(10)
Pm4DyTm4: optimized geometry, PBE.

theoretical density = 8.1 g/cm³
magnetic moment = 0.00 μB/f.u.
offset from the most stable computed form = 0.084 eV/atom
VASP energy = -40.531 eV for the cell shown
volume = 291.62 Å³ per cell
DOS at the Fermi energy = 15.1 states/eV per cell
formation enthalpy at 0 K = 0.1067 eV per atom
space group = C2/m, No. 12

a = 5.5761 Å, b = 8.8901 Å, c = 8.8919 Å
α = 44.69°, β = 71.73°, γ = 71.72°
Positions (direct):
Tm1 0.9293 0.7670 0.3744
Pm1 0.1338 0.6919 0.0405
Tm2 0.3780 0.5738 0.6702
Pm2 0.2796 0.1546 0.2863
Tm3 0.6220 0.4262 0.3298
Tm4 0.0707 0.2330 0.6256
Pm3 0.7204 0.8454 0.7137
Pm4 0.8662 0.3081 0.9595
Dy1 0.5000 0.0000 0.0000

=====

(11)
PbF3: optimized geometry, PBE.

theoretical density = 7.2 g/cm³
magnetic moment = 0.00 μB/f.u.
VASP energy = -16.300 eV for the cell shown
energy relative to the elements, uncorrected = -1.74 eV per atom
volume = 61.19 Å³ per cell
DOS at the Fermi energy = 2.5 states/eV per cell
space group = P4mm, No. 99

a = 3.6584 Å, b = 3.6587 Å, c = 4.5713 Å
α = 90.00°, β = 90.00°, γ = 90.00°
Positions (direct):
F1 0.5000 0.0000 0.5179
F2 0.0000 0.5000 0.5179
Pb1 0.0000 0.0000 0.2387
F3 0.5000 0.5000 0.0588

=====

(12)
Li2Ga3Ni: optimized geometry, PBE.

theoretical density = 5.4 g/cm³
magnetic moment = 0.00 μB/f.u.
VASP energy = -40.940 eV for the cell shown
volume = 173.79 Å³ per cell
DOS at the Fermi energy = 4.1 states/eV per cell
formation enthalpy at 0 K = -0.2967 eV per atom
space group = Cmmm, No. 65

a = 4.0566 Å, b = 6.3746 Å, c = 7.0890 Å
α = 90.00°, β = 90.00°, γ = 71.45°
Positions (direct):
Ga1 0.5000 0.0000 0.7758
Li1 0.0000 0.0000 0.5000
Ga2 0.5000 0.0000 0.2242
Li2 0.6653 0.6693 0.5000
Ni1 0.3315 0.3369 0.0000
Ga3 0.1682 0.6636 0.2229
Ga4 0.8318 0.3364 0.7771
Li3 0.3347 0.3307 0.5000
Li4 0.0000 0.0000 0.0000
Ga5 0.8318 0.3364 0.2229
Ni2 0.6685 0.6631 0.0000
Ga6 0.1682 0.6636 0.7771

=====

(13)
YZr2Os: optimized geometry, PBE.

theoretical density = 9.3 g/cm³
magnetic moment = 0.00 μB/f.u.
offset from the most stable computed form = 0.227 eV/atom
VASP energy = -34.762 eV for the cell shown
volume = 82.20 Å³ per cell
DOS at the Fermi energy = 4.7 states/eV per cell
formation enthalpy at 0 K = 0.0071 eV per atom
space group = Fm-3m, No. 225

a = 4.8805 Å, b = 4.8805 Å, c = 4.8805 Å
α = 60.00°, β = 60.00°, γ = 60.00°
Positions (direct):
Os1 0.5000 0.5000 0.5000
Y1 0.0000 0.0000 0.0000
Zr1 0.7500 0.7500 0.7500
Zr2 0.2500 0.2500 0.2500

=====

(14)
Cd2HPb2: optimized geometry, PBE.

theoretical density = 9.1 g/cm³
magnetic moment = 0.00 μB/f.u.
VASP energy = -22.494 eV for the cell shown
volume = 232.78 Å³ per cell
DOS at the Fermi energy = 4.2 states/eV per cell
space group = P4/mbm, No. 127

a = 6.2638 Å, b = 6.2638 Å, c = 5.9331 Å
α = 90.00°, β = 90.00°, γ = 90.00°
Positions (direct):
H1 0.5000 0.5000 0.0000
Pb1 0.6907 0.8093 0.5000
Pb2 0.3093 0.1907 0.5000
Cd1 0.1770 0.3230 0.0000
Pb3 0.1907 0.6907 0.5000
Pb4 0.8093 0.3093 0.5000
H2 0.0000 0.0000 0.0000
Cd2 0.8230 0.6770 0.0000
Cd3 0.6770 0.1770 0.0000
Cd4 0.3230 0.8230 0.0000

=====

(15)
La2OsF: optimized geometry, PBE.

theoretical density = 7.3 g/cm³
magnetic moment = 0.00 μB/f.u.
offset from the most stable computed form = 0.152 eV/atom
VASP energy = -54.919 eV for the cell shown
energy relative to the elements, uncorrected = -1.13 eV per atom
volume = 222.61 Å³ per cell
DOS at the Fermi energy = 3.3 states/eV per cell
space group = I-42d, No. 122

a = 5.7881 Å, b = 5.7881 Å, c = 7.8040 Å
α = 68.23°, β = 68.23°, γ = 90.00°
Positions (direct):
Os1 0.0000 0.0000 0.0000
La1 0.3750 0.3892 0.7500
F1 0.2500 0.7500 0.5000
La2 0.1392 0.6250 0.2500
F2 0.5000 0.5000 0.0000
La3 0.8750 0.8608 0.7500
La4 0.6108 0.1250 0.2500
Os2 0.7500 0.2500 0.5000

=====

(16)
Ga3PdCl: optimized geometry, PBE.

theoretical density = 5.0 g/cm³
magnetic moment = 0.00 μB/f.u.
offset from the most stable computed form = 0.000 eV/atom
VASP energy = -18.397 eV for the cell shown
energy relative to the elements, uncorrected = -0.46 eV per atom
volume = 115.91 Å³ per cell
DOS at the Fermi energy = 0.4 states/eV per cell
space group = Pm-3m, No. 221

a = 4.8757 Å, b = 4.8757 Å, c = 4.8757 Å
α = 90.00°, β = 90.00°, γ = 90.00°
Positions (direct):
Ga1 0.0000 0.5000 0.0000
Cl1 0.5000 0.5000 0.5000
Pd1 0.0000 0.0000 0.0000
Ga2 0.5000 0.0000 0.0000
Ga3 0.0000 0.0000 0.5000

=====

(17)
HoP4HO12: optimized geometry, PBE.

theoretical density = 3.3 g/cm³
magnetic moment = 0.00 μB/f.u.
VASP energy = -523.650 eV for the cell shown
volume = 961.38 Å³ per cell
DOS at the Fermi energy = 0.0 states/eV per cell
space group = P2_1/c, No. 14

a = 7.2447 Å, b = 9.8107 Å, c = 13.8208 Å
α = 78.15°, β = 90.00°, γ = 90.00°
Positions (direct):
O1 0.0615 0.7988 0.6375
P1 0.3907 0.2145 0.4073
O2 0.2687 0.3999 0.0018
P2 0.3518 0.3088 0.1034
P3 0.7810 0.2885 0.3850
O3 0.3157 0.1234 0.3425
O4 0.7240 0.4125 0.3060
P4 0.6847 0.1293 0.0986
H1 0.8522 0.4481 0.2111
O5 0.8897 0.6851 0.4173
Ho1 0.4411 0.5590 0.2694
Ho2 0.0589 0.0590 0.2694
O6 0.3224 0.1501 0.5182
H2 0.6478 0.9481 0.2111
O7 0.4385 0.2988 0.6375
O8 0.6843 0.8766 0.6575
O9 0.6427 0.6312 0.6176
O10 0.1730 0.8259 0.8367
O11 0.3270 0.3259 0.8367
O12 0.0851 0.9103 0.1632
H3 0.1478 0.5519 0.7889
O13 0.1427 0.8688 0.3824
P5 0.3153 0.8707 0.9014
O14 0.0829 0.5072 0.8539
P6 0.8518 0.1912 0.8966
O15 0.8157 0.3766 0.6575
O16 0.1776 0.6501 0.5182
O17 0.7214 0.3056 0.8551
O18 0.2214 0.1944 0.1449
P7 0.7190 0.7885 0.3850
P8 0.6093 0.7855 0.5927
P9 0.1482 0.8088 0.1034
O19 0.8224 0.3499 0.4818
O20 0.7760 0.9125 0.3060
O21 0.9171 0.4928 0.1461
O22 0.3897 0.8149 0.5827
O23 0.6776 0.8499 0.4818
P10 0.2190 0.7115 0.6150
O24 0.4171 0.0072 0.8539
O25 0.3573 0.3688 0.3824
Ho3 0.5589 0.4410 0.7306
Ho4 0.9411 0.9410 0.7306
O26 0.2760 0.5875 0.6940
O27 0.7786 0.8056 0.8551
O28 0.4149 0.4103 0.1632
O29 0.5330 0.2437 0.0591
P11 0.2810 0.2115 0.6150
P12 0.8907 0.2855 0.5927
O30 0.5829 0.9928 0.1461
O31 0.1843 0.6234 0.3425
O32 0.2786 0.6944 0.1449
O33 0.7687 0.1001 0.9982
O34 0.5615 0.7012 0.3625
H4 0.3522 0.0519 0.7889
O35 0.8270 0.1741 0.1633
O36 0.0330 0.2563 0.9409
P13 0.6482 0.6912 0.8966
O37 0.4670 0.7563 0.9409
O38 0.9385 0.2012 0.3625
O39 0.8573 0.1312 0.6176
O40 0.9149 0.0897 0.8368
O41 0.6730 0.6741 0.1633
O42 0.6103 0.1851 0.4173
O43 0.7313 0.6001 0.9982
P14 0.8153 0.6293 0.0986
O44 0.9670 0.7437 0.0591
O45 0.5851 0.5897 0.8368
O46 0.2313 0.8999 0.0018
O47 0.2240 0.0875 0.6940
O48 0.1103 0.3149 0.5827
P15 0.1847 0.3707 0.9014
P16 0.1093 0.7145 0.4073

=====

(18)
BaPuGe3: optimized geometry, PBE.

theoretical density = 7.4 g/cm³
magnetic moment = 5.56 μB/f.u.
VASP energy = -64.400 eV for the cell shown
volume = 270.28 Å³ per cell
DOS at the Fermi energy = 23.0 states/eV per cell
formation enthalpy at 0 K = -0.4186 eV per atom
space group = Cmcm, No. 63

a = 4.1425 Å, b = 4.6142 Å, c = 14.3273 Å
α = 99.27°, β = 90.00°, γ = 90.00°
Each line ends with the local moment (μB).
Positions (direct):
Pu1 0.7500 0.2051 0.4103  5.32
Ge1 0.7500 0.5250 0.0500  -0.01
Ge2 0.2500 0.4750 0.9500  -0.01
Ge3 0.2500 0.3669 0.7338  -0.03
Ge4 0.7500 0.3110 0.6220  -0.04
Ba1 0.7500 0.9214 0.8428  -0.01
Ge5 0.2500 0.6890 0.3780  -0.04
Pu2 0.2500 0.7949 0.5897  5.32
Ba2 0.2500 0.0786 0.1572  -0.01
Ge6 0.7500 0.6331 0.2662  -0.03

=====

(19)
ZrTiNi5: optimized geometry, PBE.

theoretical density = 7.4 g/cm³
magnetic moment = 0.00 μB/f.u.
VASP energy = -46.714 eV for the cell shown
volume = 96.87 Å³ per cell
DOS at the Fermi energy = 3.6 states/eV per cell
formation enthalpy at 0 K = -0.1950 eV per atom
space group = P4/mmm, No. 123

a = 3.6676 Å, b = 3.6677 Å, c = 7.2013 Å
α = 90.00°, β = 90.00°, γ = 90.00°
Positions (direct):
Ni1 0.0000 0.5000 0.2297
Ni2 0.5000 0.5000 0.5000
Ni3 0.0000 0.5000 0.7703
Ti1 0.5000 0.5000 0.0000
Zr1 0.0000 0.0000 0.5000
Ni4 0.5000 0.0000 0.7703
Ni5 0.5000 0.0000 0.2297

=====

(20)
Nd8DyHo5: optimized geometry, PBE.

theoretical density = 7.4 g/cm³
magnetic moment = 0.00 μB/f.u.
VASP energy = -63.228 eV for the cell shown
volume = 479.75 Å³ per cell
DOS at the Fermi energy = 21.1 states/eV per cell
formation enthalpy at 0 K = 0.1718 eV per atom
space group = P1, No. 1

a = 8.6632 Å, b = 8.5771 Å, c = 8.6635 Å
α = 116.22°, β = 99.00°, γ = 114.22°
Positions (direct):
Nd1 0.9153 0.1298 0.6450
Ho1 0.0906 0.3960 0.1289
Nd2 0.7535 0.2361 0.3008
Dy1 0.4122 0.5025 0.9125
Nd3 0.6960 0.3453 0.9145
Nd4 0.5693 0.6546 0.3511
Ho2 0.4081 0.9996 0.4082
Nd5 0.2563 0.3414 0.4653
Nd6 0.0641 0.7623 0.5168
Ho3 0.9111 0.8713 0.1736
Ho4 0.3022 0.1287 0.0393
Ho5 0.7328 0.6036 0.6944
Nd7 0.1234 0.6585 0.9149
Nd8 0.5152 0.8703 0.7849